{
  "formula": "AcDy10Tm4",
  "functional": "PBE",
  "state": "optimized geometry",
  "lattice_angstrom": [[-6.3437, 6.3437, 3.3156], [6.3437, -6.3437, 3.3156], [6.3437, 6.3437, -3.3156]],
  "species": ["Ac", "Dy", "Dy", "Dy", "Dy", "Dy", "Dy", "Dy", "Dy", "Dy", "Dy", "Tm", "Tm", "Tm", "Tm"],
  "fractional_positions": [[0.0000, 0.0000, 0.0000], [0.0406, 0.8792, 0.4181], [0.1208, 0.5389, 0.1615], [0.2500, 0.7500, 0.5000], [0.3775, 0.9594, 0.8385], [0.4611, 0.6225, 0.5819], [0.5389, 0.3775, 0.4181], [0.6225, 0.0406, 0.1615], [0.7500, 0.2500, 0.5000], [0.8792, 0.4611, 0.8385], [0.9594, 0.1208, 0.5819], [0.3205, 0.5678, 0.8883], [0.4322, 0.3205, 0.7527], [0.5678, 0.6795, 0.2473], [0.6795, 0.4322, 0.1117]],
  "spacegroup": "I4/m",
  "formation_energy_mev_per_atom": 533,
  "mass_density_g_cm3": 7.86,
  "dft_energy_ev_per_atom": -4.00
}

{
  "formula": "AcDy4Tm10",
  "functional": "PBE",
  "state": "optimized geometry",
  "lattice_angstrom": [[-6.3882, 6.3882, 3.2442], [6.3882, -6.3882, 3.2442], [6.3882, 6.3882, -3.2442]],
  "species": ["Ac", "Dy", "Dy", "Dy", "Dy", "Tm", "Tm", "Tm", "Tm", "Tm", "Tm", "Tm", "Tm", "Tm", "Tm"],
  "fractional_positions": [[0.0000, 0.0000, 0.0000], [0.3234, 0.4323, 0.7556], [0.4323, 0.6766, 0.1089], [0.5677, 0.3234, 0.8911], [0.6766, 0.5677, 0.2444], [0.0410, 0.6202, 0.1616], [0.1206, 0.9590, 0.5792], [0.2500, 0.7500, 0.5000], [0.3798, 0.5414, 0.4208], [0.4586, 0.8794, 0.8384], [0.5414, 0.1206, 0.1616], [0.6202, 0.4586, 0.5792], [0.7500, 0.2500, 0.5000], [0.8794, 0.0410, 0.4208], [0.9590, 0.3798, 0.8384]],
  "spacegroup": "I4/m",
  "formation_energy_mev_per_atom": 544,
  "mass_density_g_cm3": 8.05,
  "dft_energy_ev_per_atom": -3.94
}

{
  "formula": "AcDy3Tm8",
  "functional": "PBE",
  "state": "optimized geometry",
  "lattice_angstrom": [[-3.1398, 5.6613, 5.7566], [3.1398, -5.6613, 5.7566], [3.1398, 5.6613, -5.7566]],
  "species": ["Ac", "Dy", "Dy", "Dy", "Tm", "Tm", "Tm", "Tm", "Tm", "Tm", "Tm", "Tm"],
  "fractional_positions": [[0.0000, 0.0000, 0.0000], [0.2642, 0.5000, 0.7642], [0.5000, 0.0000, 0.5000], [0.7358, 0.5000, 0.2358], [0.0772, 0.8252, 0.2520], [0.2634, 0.0188, 0.7554], [0.2634, 0.5080, 0.2446], [0.4269, 0.1748, 0.2520], [0.5731, 0.8252, 0.7480], [0.7366, 0.4920, 0.7554], [0.7366, 0.9812, 0.2446], [0.9228, 0.1748, 0.7480]],
  "spacegroup": "Immm",
  "formation_energy_mev_per_atom": 332,
  "mass_density_g_cm3": 8.38,
  "dft_energy_ev_per_atom": -4.14
}

{
  "formula": "AcDy3Tm7",
  "functional": "PBE",
  "state": "optimized geometry",
  "lattice_angstrom": [[6.9450, 0.0000, 0.0000], [0.0000, 5.5289, 0.0000], [-3.0923, 0.0000, 9.3014]],
  "species": ["Ac", "Dy", "Dy", "Dy", "Tm", "Tm", "Tm", "Tm", "Tm", "Tm", "Tm"],
  "fractional_positions": [[0.0000, 0.0000, 0.0000], [0.2751, 0.5000, 0.4914], [0.5000, 0.0000, 0.0000], [0.7249, 0.5000, 0.5086], [0.0000, 0.0000, 0.5000], [0.1498, 0.5000, 0.7884], [0.3311, 0.5000, 0.1447], [0.4383, 0.0000, 0.3331], [0.5617, 0.0000, 0.6669], [0.6689, 0.5000, 0.8553], [0.8502, 0.5000, 0.2116]],
  "e_above_lowest_polymorph_mev_per_atom": 0.0,
  "spacegroup": "P2/m",
  "formation_energy_mev_per_atom": 163,
  "mass_density_g_cm3": 8.82,
  "dft_energy_ev_per_atom": -4.31
}

{
  "formula": "AcDy4Tm5",
  "functional": "PBE",
  "state": "optimized geometry",
  "lattice_angstrom": [[8.5476, -1.7805, 0.0000], [8.5476, 1.7805, 0.0000], [-0.1313, 0.0000, 11.0028]],
  "species": ["Ac", "Dy", "Dy", "Dy", "Dy", "Tm", "Tm", "Tm", "Tm", "Tm"],
  "fractional_positions": [[0.0000, 0.0000, 0.0000], [0.1526, 0.1526, 0.2500], [0.4727, 0.4727, 0.2587], [0.5273, 0.5273, 0.7413], [0.8474, 0.8474, 0.7500], [0.0000, 0.0000, 0.5000], [0.3229, 0.3229, 0.0574], [0.3269, 0.3269, 0.4539], [0.6731, 0.6731, 0.5461], [0.6771, 0.6771, 0.9426]],
  "spacegroup": "C2/m",
  "formation_energy_mev_per_atom": 225,
  "mass_density_g_cm3": 8.54,
  "dft_energy_ev_per_atom": -4.26
}

{
  "formula": "Ac7DyTm2",
  "functional": "PBE",
  "state": "optimized geometry",
  "lattice_angstrom": [[5.0628, -8.1836, 0.0000], [5.0628, 8.1836, 0.0000], [0.0000, 0.0000, 6.0990]],
  "species": ["Ac", "Ac", "Ac", "Ac", "Ac", "Ac", "Ac", "Dy", "Tm", "Tm"],
  "fractional_positions": [[0.0000, 0.0000, 0.0000], [0.1913, 0.4383, 0.0000], [0.2591, 0.7409, 0.5000], [0.4383, 0.1913, 0.0000], [0.5617, 0.8087, 0.0000], [0.7409, 0.2591, 0.5000], [0.8087, 0.5617, 0.0000], [0.5000, 0.5000, 0.5000], [0.2022, 0.7978, 0.0000], [0.7978, 0.2022, 0.0000]],
  "spacegroup": "Cmmm",
  "formation_energy_mev_per_atom": 636,
  "mass_density_g_cm3": 6.86,
  "dft_energy_ev_per_atom": -3.59
}

{
  "formula": "AcDyTm2",
  "functional": "PBE",
  "state": "optimized geometry",
  "lattice_angstrom": [[3.6568, 0.0000, 0.0000], [-1.8284, 3.1669, 0.0000], [0.0000, 0.0000, 35.0522]],
  "species": ["Ac", "Ac", "Ac", "Dy", "Dy", "Dy", "Tm", "Tm", "Tm", "Tm", "Tm", "Tm"],
  "fractional_positions": [[0.0000, 0.0000, 0.0000], [0.3333, 0.6667, 0.6667], [0.6667, 0.3333, 0.3333], [0.0000, 0.0000, 0.1659], [0.3333, 0.6667, 0.8325], [0.6667, 0.3333, 0.4992], [0.0000, 0.0000, 0.5787], [0.0000, 0.0000, 0.7536], [0.3333, 0.6667, 0.2454], [0.3333, 0.6667, 0.4203], [0.6667, 0.3333, 0.0870], [0.6667, 0.3333, 0.9120]],
  "e_above_lowest_polymorph_mev_per_atom": 9.7,
  "spacegroup": "R3m",
  "formation_energy_mev_per_atom": 81,
  "mass_density_g_cm3": 8.93,
  "dft_energy_ev_per_atom": -4.33
}

{
  "formula": "AcDy7Tm3",
  "functional": "PBE",
  "state": "optimized geometry",
  "lattice_angstrom": [[7.0876, 0.0000, 0.0000], [-3.5438, 6.1380, 0.0000], [0.0000, 0.0000, 8.6142]],
  "species": ["Ac", "Dy", "Dy", "Dy", "Dy", "Dy", "Dy", "Dy", "Tm", "Tm", "Tm"],
  "fractional_positions": [[0.0000, 0.0000, 0.0000], [0.0030, 0.5015, 0.0030], [0.3324, 0.1662, 0.6653], [0.3333, 0.6667, 0.6702], [0.4985, 0.5015, 0.0030], [0.4985, 0.9970, 0.0030], [0.8338, 0.1662, 0.6653], [0.8338, 0.6676, 0.6653], [0.1689, 0.3379, 0.3408], [0.1689, 0.8311, 0.3408], [0.6621, 0.8311, 0.3408]],
  "spacegroup": "P3m1",
  "formation_energy_mev_per_atom": 220,
  "mass_density_g_cm3": 8.29,
  "dft_energy_ev_per_atom": -4.30
}

{
  "formula": "Ac8DyTm2",
  "functional": "PBE",
  "state": "optimized geometry",
  "lattice_angstrom": [[-2.8875, 4.8388, 8.2453], [2.8875, -4.8388, 8.2453], [2.8875, 4.8388, -8.2453]],
  "species": ["Ac", "Ac", "Ac", "Ac", "Ac", "Ac", "Ac", "Ac", "Dy", "Tm", "Tm"],
  "fractional_positions": [[0.1293, 0.3420, 0.7873], [0.1465, 0.1465, 0.0000], [0.3089, 0.0000, 0.3089], [0.4453, 0.6580, 0.7873], [0.5547, 0.3420, 0.2127], [0.6911, 0.0000, 0.6911], [0.8535, 0.8535, 0.0000], [0.8707, 0.6580, 0.2127], [0.0000, 0.5000, 0.5000], [0.2976, 0.7976, 0.5000], [0.7024, 0.2024, 0.5000]],
  "spacegroup": "Immm",
  "formation_energy_mev_per_atom": 142,
  "mass_density_g_cm3": 8.35,
  "dft_energy_ev_per_atom": -4.08
}

{
  "formula": "AcDyTm4",
  "functional": "PBE",
  "state": "optimized geometry",
  "lattice_angstrom": [[3.5262, 0.0000, 0.0000], [0.0000, 5.6620, 0.0000], [0.0000, 0.0000, 9.7748]],
  "species": ["Ac", "Dy", "Tm", "Tm", "Tm", "Tm"],
  "fractional_positions": [[0.0000, 0.0000, 0.0000], [0.0000, 0.5000, 0.5000], [0.5000, 0.0000, 0.3392], [0.5000, 0.0000, 0.6608], [0.5000, 0.5000, 0.1744], [0.5000, 0.5000, 0.8256]],
  "spacegroup": "Pmmm",
  "formation_energy_mev_per_atom": 100,
  "mass_density_g_cm3": 9.06,
  "dft_energy_ev_per_atom": -4.33
}